# TlFePO2 GGA+U relaxed
# Symmetry: No. 123
# Raw total energy in eV/atom: -4.934
data_TlFePO2
_chemical_formula_sum 'Tl1 Fe1 P1 O2'
_cell_length_a 3.848
_cell_length_b 3.848
_cell_length_c 5.136
_cell_angle_alpha 90.00
_cell_angle_beta 90.00
_cell_angle_gamma 90.00
_symmetry_space_group_name_H-M 'P 1'
_symmetry_Int_Tables_number 1
loop_
_symmetry_equiv_pos_as_xyz
'x,y,z'
loop_
_atom_site_label
_atom_site_fract_x
_atom_site_fract_y
_atom_site_fract_z
O1 0.500 0.000 0.000
O2 0.000 0.500 0.000
Tl1 0.500 0.500 0.500
Fe1 0.000 0.000 0.000
P1 0.000 0.000 0.500